# 1
First-principles (PBE) data for a relaxed Li2PbBr crystal, as listed in the Alexandria database.

abc: 7.1939 7.1939 7.1939
angles: 90.00 90.00 90.00
Element x y z (fractional)
1 Li 0.2500 0.2500 0.2500
2 Li 0.2500 0.2500 0.7500
3 Li 0.2500 0.7500 0.2500
4 Li 0.2500 0.7500 0.7500
5 Li 0.7500 0.2500 0.2500
6 Li 0.7500 0.2500 0.7500
7 Li 0.7500 0.7500 0.2500
8 Li 0.7500 0.7500 0.7500
9 Pb 0.0000 0.0000 0.0000
10 Pb 0.0000 0.5000 0.5000
11 Pb 0.5000 0.0000 0.5000
12 Pb 0.5000 0.5000 0.0000
13 Br 0.0000 0.0000 0.5000
14 Br 0.0000 0.5000 0.0000
15 Br 0.5000 0.0000 0.0000
16 Br 0.5000 0.5000 0.5000

ΔE_f (raw) ... -0.23 eV per atom
Density of states at the Fermi level ... 16.2 states/eV per cell
Total magnetization ... 0.00 μB per formula unit

# 2
First-principles (PBE) data for a relaxed Li2PbBr crystal, as listed in the Alexandria database.

abc: 6.4905 8.4443 3.3473
angles: 90.00 90.00 90.00
Element x y z (fractional)
1 Li 0.2500 0.2500 0.0000
2 Li 0.2500 0.7500 0.0000
3 Li 0.7500 0.2500 0.0000
4 Li 0.7500 0.7500 0.0000
5 Pb 0.0000 0.0000 0.5000
6 Pb 0.5000 0.5000 0.5000
7 Br 0.0000 0.5000 0.5000
8 Br 0.5000 0.0000 0.5000

ΔE_f (raw) ... -0.50 eV per atom
Density of states at the Fermi level ... 2.6 states/eV per cell
Total magnetization ... 0.00 μB per formula unit

# 3
First-principles (PBE) data for a relaxed LiPbBr2 crystal, as listed in the Alexandria database.

abc: 3.8904 4.8461 6.5908
angles: 90.00 90.00 90.00
Element x y z (fractional)
1 Li 0.0000 0.0000 0.0000
2 Pb 0.5000 0.5000 0.4495
3 Br 0.0000 0.0000 0.3853
4 Br 0.5000 0.5000 0.9533

ΔE_f (raw) ... -0.76 eV per atom
Density of states at the Fermi level ... 2.1 states/eV per cell
Total magnetization ... 0.00 μB per formula unit

# 4
First-principles (PBE) data for a relaxed Li2PbBr crystal, as listed in the Alexandria database.

abc: 3.8831 3.9148 6.6390
angles: 90.00 90.00 90.00
Element x y z (fractional)
1 Li 0.0000 0.0000 0.0000
2 Li 0.5000 0.0000 0.5000
3 Pb 0.0000 0.5000 0.5000
4 Br 0.5000 0.5000 0.0000

ΔE_f (raw) ... -0.51 eV per atom
Density of states at the Fermi level ... 2.1 states/eV per cell
Total magnetization ... 0.00 μB per formula unit

# 5
First-principles (PBE) data for a relaxed Li2PbBr crystal, as listed in the Alexandria database.

abc: 3.9163 3.9163 12.8151
angles: 90.00 90.00 90.00
Element x y z (fractional)
1 Li 0.0000 0.0000 0.0000
2 Li 0.0000 0.5000 0.2500
3 Li 0.5000 0.0000 0.7500
4 Li 0.5000 0.5000 0.5000
5 Pb 0.0000 0.5000 0.7500
6 Pb 0.5000 0.0000 0.2500
7 Br 0.0000 0.0000 0.5000
8 Br 0.5000 0.5000 0.0000

ΔE_f (raw) ... -0.51 eV per atom
Density of states at the Fermi level ... 2.8 states/eV per cell
Total magnetization ... 0.00 μB per formula unit

# 6
First-principles (PBE) data for a relaxed LiPbBr2 crystal, as listed in the Alexandria database.

abc: 3.7952 3.7952 24.7891
angles: 90.00 90.00 120.00
Element x y z (fractional)
1 Li 0.0000 0.0000 0.0000
2 Li 0.3333 0.6667 0.6667
3 Li 0.6667 0.3333 0.3333
4 Pb 0.0000 0.0000 0.5000
5 Pb 0.3333 0.6667 0.1667
6 Pb 0.6667 0.3333 0.8333
7 Br 0.0000 0.0000 0.2695
8 Br 0.0000 0.0000 0.7305
9 Br 0.3333 0.6667 0.3972
10 Br 0.3333 0.6667 0.9362
11 Br 0.6667 0.3333 0.0638
12 Br 0.6667 0.3333 0.6028

ΔE_f (raw) ... -0.94 eV per atom
Density of states at the Fermi level ... 5.2 states/eV per cell
Total magnetization ... 0.00 μB per formula unit

# 7
First-principles (PBE) data for a relaxed Li2PbBr crystal, as listed in the Alexandria database.

abc: 3.8689 5.8198 8.3297
angles: 90.00 90.00 90.00
Element x y z (fractional)
1 Li 0.0000 0.0000 0.2062
2 Li 0.0000 0.0000 0.7938
3 Li 0.5000 0.5000 0.2062
4 Li 0.5000 0.5000 0.7938
5 Pb 0.0000 0.5000 0.5000
6 Pb 0.5000 0.0000 0.5000
7 Br 0.0000 0.5000 0.0000
8 Br 0.5000 0.0000 0.0000

ΔE_f (raw) ... -0.70 eV per atom
Density of states at the Fermi level ... 2.5 states/eV per cell
Total magnetization ... 0.00 μB per formula unit

# 8
First-principles (PBE) data for a relaxed Li4PbBr crystal, as listed in the Alexandria database.

abc: 5.6984 5.6984 5.6984
angles: 60.00 60.00 60.00
Element x y z (fractional)
1 Li 0.1224 0.1224 0.1224
2 Li 0.1224 0.1224 0.6329
3 Li 0.1224 0.6329 0.1224
4 Li 0.6329 0.1224 0.1224
5 Pb 0.7500 0.7500 0.7500
6 Br 0.5000 0.5000 0.5000

ΔE_f (raw) ... -0.14 eV per atom
Density of states at the Fermi level ... 3.6 states/eV per cell
Total magnetization ... 0.01 μB per formula unit